Record 1
Below is a relaxed SrDyNO crystal, with properties calculated at the PBE level.

Cell: 6.8210 8.1618 5.6754 Å, 90.00 90.00 90.00°
With the nearest neighbours (Å) after each atom.
Element x y z (fractional)
Sr 0.5830 0.8743 0.0233  3 N 2.51-2.60, 1 O 2.62
Dy 0.5856 0.3845 0.9995  1 N 2.10, 3 O 2.22-2.24
Dy 0.9144 0.3845 0.4995  1 N 2.10, 3 O 2.22-2.24
Sr 0.4170 0.1257 0.5233  3 N 2.51-2.60, 1 O 2.62
Dy 0.0856 0.6155 0.9995  1 N 2.10, 3 O 2.22-2.24
N 0.4487 0.1594 0.0699  1 Dy 2.10
O 0.5995 0.4017 0.6098  3 Dy 2.22-2.24
Sr 0.0830 0.1257 0.0233  3 N 2.51-2.60, 1 O 2.62
N 0.5513 0.8406 0.5699  1 Dy 2.10
Dy 0.4144 0.6155 0.4995  1 N 2.10, 3 O 2.22-2.24
N 0.9487 0.8406 0.0699  1 Dy 2.10
O 0.0995 0.5983 0.6098  3 Dy 2.22-2.24
Sr 0.9170 0.8743 0.5233  3 N 2.51-2.60, 1 O 2.62
O 0.9005 0.4017 0.1098  3 Dy 2.22-2.24
O 0.4005 0.5983 0.1098  3 Dy 2.22-2.24
N 0.0513 0.1594 0.5699  1 Dy 2.10

Results
Space-group type ... Pca2_1
Size of the total moment ... 0.00 μB/atom
Energy ... -109.229 eV per cell

Record 2
Below is a relaxed SrDyNO crystal, with properties calculated at the PBE level.

Cell: 4.0989 5.1060 7.1461 Å, 90.00 90.00 90.00°
With the nearest neighbours (Å) after each atom.
Element x y z (fractional)
Sr 0.5000 0.4467 0.8335  2 N 2.44, 3 O 2.52-2.61
Sr 0.5000 0.9467 0.1665  2 N 2.44, 3 O 2.52-2.61
Dy 0.0000 0.9555 0.6560  2 N 2.19-2.34, 2 O 2.31
O 0.5000 0.4380 0.1950  2 Dy 2.31, 2 Sr 2.52-2.58
N 0.0000 0.9139 0.3514  2 Dy 2.19-2.34, 2 Sr 2.44
O 0.5000 0.9380 0.8050  2 Dy 2.31, 2 Sr 2.52-2.58
N 0.0000 0.4139 0.6486  2 Dy 2.19-2.34, 2 Sr 2.44
Dy 0.0000 0.4555 0.3440  2 N 2.19-2.34, 2 O 2.31

Results
Space-group type ... Pmc2_1
Size of the total moment ... 0.00 μB/atom
Energy ... -55.471 eV per cell

Record 3
Below is a relaxed SrDyNO crystal, with properties calculated at the PBE level.

Cell: 4.9675 4.9675 5.1119 Å, 90.00 90.00 90.00°
With the nearest neighbours (Å) after each atom.
Element x y z (fractional)
Dy 0.2500 0.7500 0.5000  4 N 2.48, 2 O 2.56
N 0.7500 0.7500 0.5013  4 Dy 2.48, 2 Sr 2.55-2.56
N 0.2500 0.2500 0.4987  4 Dy 2.48, 2 Sr 2.55-2.56
O 0.7500 0.2500 0.0000  4 Sr 2.48, 2 Dy 2.56
Dy 0.7500 0.2500 0.5000  4 N 2.48, 2 O 2.56
Sr 0.2500 0.2500 0.9994  4 O 2.48, 2 N 2.55-2.56
Sr 0.7500 0.7500 0.0006  4 O 2.48, 2 N 2.55-2.56
O 0.2500 0.7500 0.0000  4 Sr 2.48, 2 Dy 2.56

Results
Space-group type ... P4/nmm
Size of the total moment ... 0.00 μB/atom
Energy ... -55.602 eV per cell

The highest energy belongs to which entry?
number 2